# 1
# HfPd3Au3

An optimized crystal structure of HfPd3Au3 (PBE-GGA, the Alexandria database).

a b c (Å): 7.6018 7.6018 4.7794
angles (deg): 90.00 90.00 120.00
Atoms (fractional coordinates):
Hf  0.3333  0.6667  0.2500
Hf  0.6667  0.3333  0.7500
Pd  0.0548  0.2459  0.2500
Pd  0.1912  0.9452  0.2500
Pd  0.2459  0.1912  0.7500
Pd  0.7541  0.8088  0.2500
Pd  0.8088  0.0548  0.7500
Pd  0.9452  0.7541  0.7500
Au  0.0959  0.4681  0.7500
Au  0.3722  0.9041  0.7500
Au  0.4681  0.3722  0.2500
Au  0.5319  0.6278  0.7500
Au  0.6278  0.0959  0.2500
Au  0.9041  0.5319  0.2500

E ... -5.4585 eV/atom
ΔE to the lowest computed polymorph ... 0.0000 eV/atom
Space group ... P6_3/m (176)

***

# 2
# HfPd8Au2

An optimized crystal structure of HfPd8Au2 (PBE-GGA, the Alexandria database).

a b c (Å): 6.7646 6.7646 4.8230
angles (deg): 101.91 101.91 81.89
Atoms (fractional coordinates):
Hf  0.0000  0.0000  0.0000
Pd  0.1670  0.6739  0.2016
Pd  0.2735  0.2735  0.1135
Pd  0.3261  0.8330  0.7984
Pd  0.4282  0.4282  0.7085
Pd  0.5718  0.5718  0.2915
Pd  0.6739  0.1670  0.2016
Pd  0.7265  0.7265  0.8865
Pd  0.8330  0.3261  0.7984
Au  0.1558  0.1558  0.5452
Au  0.8442  0.8442  0.4548

E ... -5.2253 eV/atom
ΔE to the lowest computed polymorph ... 0.2531 eV/atom
Space group ... C2/m (12)

***

Question: What is the ΔE to the lowest computed polymorph in the first record?
Answer: 0.0000 eV/atom

***

Please write out number 2 again, unchanged.
# HfPd8Au2

An optimized crystal structure of HfPd8Au2 (PBE-GGA, the Alexandria database).

a b c (Å): 6.7646 6.7646 4.8230
angles (deg): 101.91 101.91 81.89
Atoms (fractional coordinates):
Hf  0.0000  0.0000  0.0000
Pd  0.1670  0.6739  0.2016
Pd  0.2735  0.2735  0.1135
Pd  0.3261  0.8330  0.7984
Pd  0.4282  0.4282  0.7085
Pd  0.5718  0.5718  0.2915
Pd  0.6739  0.1670  0.2016
Pd  0.7265  0.7265  0.8865
Pd  0.8330  0.3261  0.7984
Au  0.1558  0.1558  0.5452
Au  0.8442  0.8442  0.4548

E ... -5.2253 eV/atom
ΔE to the lowest computed polymorph ... 0.2531 eV/atom
Space group ... C2/m (12)

***

Question: E of number 2 (HfPd8Au2)?
Answer: -5.2253 eV/atom